A plane-wave DFT calculation with PBE-GGA was carried out for crystalline Re4AuSe at its relaxed geometry.

Cell and atoms, written as CIF:
```
data_Re4AuSe
_cell_length_a 7.426
_cell_length_b 7.426
_cell_length_c 7.426
_cell_angle_alpha 90.00
_cell_angle_beta 90.00
_cell_angle_gamma 90.00
_space_group_name_H-M_alt 'F -4 3 m'
_space_group_IT_number 216
_space_group_name_Hall 'F -4 2 3'
loop_
_atom_site_label
_atom_site_type_symbol
_atom_site_fract_x
_atom_site_fract_y
_atom_site_fract_z
Re1 Re 0.125 0.125 0.125
Au1 Au 0.000 0.000 0.500
Se1 Se 0.250 0.250 0.750
```

Properties
formation energy (no corrections): 0.92 eV/atom
Fermi-level density of states: 1.056 states/eV per atom